## BMoPb3 (SCAN)

Data for BMoPb3 at its PBEsol-relaxed geometry.

SG: No. 221
Electronic total energy (eV/atom): -52.65
Total magnetization (μB/f.u.): 4.18
Energy of formation from the pure elements (meV per atom): 1283.1

Structure (extended XYZ):
```
5
Lattice="4.909 0.000 0.000 0.000 4.909 0.000 0.000 0.000 4.909" Properties=species:S:1:pos:R:3 pbc="T T T"
B 0.000 0.000 0.000
Mo 2.455 2.455 2.455
Pb 0.000 0.000 2.455
Pb 0.000 2.455 0.000
Pb 2.455 0.000 0.000
```



## RbB2MoPb (SCAN)

Data for RbB2MoPb at its PBEsol-relaxed geometry.

SG: No. 123
Electronic total energy (eV/atom): -27.06
Total magnetization (μB/f.u.): 3.46
Energy of formation from the pure elements (meV per atom): 2191.2

Structure (extended XYZ):
```
5
Lattice="4.841 0.000 0.000 0.000 4.841 0.000 0.000 0.000 5.446" Properties=species:S:1:pos:R:3 pbc="T T T"
Rb 0.000 0.000 0.000
B 0.000 2.420 2.723
B 2.420 0.000 2.723
Mo 2.420 2.420 0.000
Pb 2.420 2.420 2.723
```